[1]
A plane-wave DFT calculation with PBE was carried out for an optimized crystal structure of BaPt2W.

Excess energy over the best structure of this formula in the dataset   0.3684 eV/atom
Total moment   0.00 Bohr magnetons per cell
Total DFT energy (no corrections)   -6.616 eV/atom
DOS(E_F)   1.063 states/eV/atom
DFT formation energy   0.1231 eV/atom

Unit cell a=3.0452 b=4.2642 c=7.4619 alpha=90.00 beta=90.00 gamma=90.00
Closest atoms and distances in Å follow each position.
Space group Pmm2 (No. 25)
Inequivalent atoms, fractional coordinates:
Ba1 0.0000 0.0000 0.0000 [1 per cell]  2 Ba 3.05, 6 Pt 3.24-3.28
Pt1 0.5000 0.0000 0.3888 [1 per cell]  4 W 2.68
Pt2 0.5000 0.5000 0.7442 [1 per cell]  2 W 2.57
W1 0.0000 0.5000 0.4670 [1 per cell]  6 Pt 2.57-2.68

=====

[2]
A plane-wave DFT calculation with PBE was carried out for an optimized crystal structure of BaPt2W.

Excess energy over the best structure of this formula in the dataset   1.0139 eV/atom
Total moment   3.13 Bohr magnetons per cell
Total DFT energy (no corrections)   -5.971 eV/atom
DOS(E_F)   1.216 states/eV/atom
DFT formation energy   0.7686 eV/atom

Unit cell a=4.2544 b=4.2544 c=9.1097 alpha=90.00 beta=90.00 gamma=90.00
Closest atoms and distances in Å follow each position.
Space group I-4m2 (No. 119)
Inequivalent atoms, fractional coordinates:
Ba1 0.0000 0.0000 0.0000 [2 per cell]  8 Pt 3.01-3.12, 4 W 3.12
Pt1 0.0000 0.0000 0.5000 [2 per cell]  4 Ba 3.01, 4 W 3.12, 4 Pt 3.12
Pt2 0.0000 0.5000 0.7500 [2 per cell]  4 W 3.01, 4 Ba 3.12, 4 Pt 3.12
W1 0.0000 0.5000 0.2500 [2 per cell]  8 Pt 3.01-3.12, 4 Ba 3.12

=====

[3]
A plane-wave DFT calculation with PBE was carried out for an optimized crystal structure of BaPt2W.

Excess energy over the best structure of this formula in the dataset   0.5924 eV/atom
Total moment   0.62 Bohr magnetons per cell
Total DFT energy (no corrections)   -6.392 eV/atom
DOS(E_F)   1.114 states/eV/atom
DFT formation energy   0.3472 eV/atom

Unit cell a=5.2895 b=5.2895 c=2.9351 alpha=90.00 beta=90.00 gamma=90.00
Closest atoms and distances in Å follow each position.
Space group P4/mmm (No. 123)
Inequivalent atoms, fractional coordinates:
Ba1 0.0000 0.0000 0.0000 [1 per cell]  2 Ba 2.94, 8 Pt 3.02
Pt1 0.0000 0.5000 0.5000 [2 per cell]  2 Pt 2.94, 4 W 3.02, 4 Ba 3.02
W1 0.5000 0.5000 0.0000 [1 per cell]  2 W 2.94, 8 Pt 3.02